Nd2MgSe4 | PBE | relaxed

Calculated values
Magnetic moment (μB/atom): 0.00
Distance to the lowest polymorph of the same formula (meV/atom): 46
Calculated total energy (eV/atom): -5.2040

Lattice parameters (Å, degrees): 13.521 4.138 14.623 90.00 90.00 90.00
Space group Pnma (No. 62)
Asymmetric unit:
Nd (0.120, 0.250, 0.074) x4
Nd (0.134, 0.250, 0.704) x4
Mg (0.106, 0.750, 0.464) x4
Se (0.000, 0.250, 0.384) x4
Se (0.027, 0.250, 0.884) x4
Se (0.228, 0.250, 0.246) x4
Se (0.233, 0.250, 0.514) x4